[1]
Material: NbInTe2
Method: DFT, PBE
State: relaxed

Calculated volume: 31.3 A^3/atom
Total magnetization: 1.4 μB/f.u.
ΔE_f (raw): 570 meV per atom
Uncorrected energy: -4.203 eV per atom

a b c (Å): 3.9805 3.9805 27.3533
angles (deg): 90.00 90.00 120.00
Space group R-3m (No. 166, hexagonal axes)
Inequivalent atoms, fractional coordinates:
Nb 0.0000 0.0000 0.0000 x3
In 0.0000 0.0000 0.5000 x3
Te 0.0000 0.0000 0.0972 x6



[2]
Material: NbInTe3
Method: DFT, PBE
State: relaxed

Calculated volume: 29.0 A^3/atom
Total magnetization: 0.0 μB/f.u.
ΔE_f (raw): -228 meV per atom
Uncorrected energy: -4.675 eV per atom

a b c (Å): 18.3429 4.0243 7.9667
angles (deg): 90.00 98.98 90.00
Space group C2/m (No. 12)
Inequivalent atoms, fractional coordinates:
Nb 0.2042 0.0000 0.2367 x4
In 0.0471 0.5000 0.6749 x4
Te 0.0546 0.0000 0.2084 x4
Te 0.1746 0.5000 0.9774 x4
Te 0.1931 0.0000 0.6001 x4